DFT (PBE) results for CuPt2W after structural relaxation.

```
CuPt2W
1.0
2.376 -3.683 0.158
1.871 -1.243 3.767
-1.524 -3.503 2.155
Cu Pt W
1 2 1
Cartesian
0.681 -2.107 1.520
0.000 0.000 0.000
2.042 -6.322 4.560
1.362 -4.215 3.040
```

Calculated values
- V: 14.92 A^3/atom
- DFT formation energy: 0.07 eV per atom
- Total moment: 0.0 μB/cell
- Crystal system: cubic
- Final energy: -7.128 eV per atom